(1)
A plane-wave DFT calculation with PBE was carried out for TcSb2Os after structural relaxation.

Cell: 3.0311 3.0311 9.2664 Å, 90.00 90.00 90.00°
With the nearest neighbours (Å) after each atom.
Element x y z (fractional)
Os 0.5000 0.5000 0.7155  4 Tc 2.71, 4 Sb 2.84, 4 Os 3.03
Tc 0.0000 0.0000 0.5365  4 Os 2.71, 4 Sb 2.87, 4 Tc 3.03
Sb 0.5000 0.5000 0.3311  4 Tc 2.87, 4 Sb 3.03
Sb 0.0000 0.0000 0.9169  4 Os 2.84, 4 Sb 3.03

The value obtained for the energy relative to the elements, uncorrected is 0.20 eV/atom. As for the energy above the most stable polymorph in this dataset: 0.000 eV/atom.

***

(2)
A plane-wave DFT calculation with PBE was carried out for Tc2SbOs after structural relaxation.

Cell: 4.9474 4.9474 4.7592 Å, 72.70 72.70 35.27°
With the nearest neighbours (Å) after each atom.
Element x y z (fractional)
Sb 0.7568 0.7568 0.7875  7 Tc 2.71-2.87, 2 Os 2.81, 2 Sb 3.00
Tc 0.0041 0.0041 0.9639  4 Os 2.69-2.93, 3 Sb 2.71-2.72, 4 Tc 2.94-3.00
Tc 0.2395 0.2395 0.3121  3 Os 2.62-2.70, 4 Sb 2.76-2.87
Os 0.4996 0.4996 0.4366  7 Tc 2.62-2.93, 2 Sb 2.81

The value obtained for the energy relative to the elements, uncorrected is 0.28 eV/atom.

***

- Which value of energy relative to the elements, uncorrected does entry 1 give?
  0.20 eV/atom